[1]
Density functional theory data (GGA-PBEsol) for an optimized crystal structure of SrGaSn.

Results
Energy of formation in meV/atom: -580
Size of the total moment in μB per cell: 0.000

Cell lengths 4.5504, 4.5504, 18.2826 Å; angles 90.00, 90.00, 120.00 degrees
Space group P6_3/mmc (No. 194)
Symmetry-distinct sites (fractional):
Sr 0.0000 0.0000 0.0000 [2 per cell]
Sr 0.0000 0.0000 0.2500 [2 per cell]
Ga 0.3333 0.6667 0.1617 [4 per cell]
Sn 0.3333 0.6667 0.6165 [4 per cell]

[2]
Density functional theory data (GGA-PBEsol) for an optimized crystal structure of AlInPt2.

Results
Energy of formation in meV/atom: -585
Size of the total moment in μB per cell: 0.000

Cell lengths 4.4398, 4.4398, 3.2348 Å; angles 90.00, 90.00, 90.00 degrees
Space group P4/mmm (No. 123)
Symmetry-distinct sites (fractional):
Al 0.0000 0.0000 0.0000 [1 per cell]
In 0.5000 0.5000 0.0000 [1 per cell]
Pt 0.0000 0.5000 0.5000 [2 per cell]

[3]
Density functional theory data (GGA-PBEsol) for an optimized crystal structure of ScCo2ReBi.

Results
Energy of formation in meV/atom: 1871
Size of the total moment in μB per cell: 3.919

Cell lengths 4.2522, 4.2522, 5.2065 Å; angles 90.00, 90.00, 90.00 degrees
Space group P4/mmm (No. 123)
Symmetry-distinct sites (fractional):
Sc 0.0000 0.0000 0.0000 [1 per cell]
Co 0.0000 0.5000 0.0000 [2 per cell]
Re 0.5000 0.5000 0.5000 [1 per cell]
Bi 0.0000 0.0000 0.5000 [1 per cell]

The evaluated calculated density for the records listed, in turn: 5.6, 13.9, 9.8 g cm⁻³.